# Y5In4Rh

A relaxed Y5In4Rh crystal (PBE, Alexandria).

## Properties
* space-group type: P4/mmm (123)
* crystal system: tetragonal
* density of states at the Fermi level: 0.342 states/eV per atom
* magnetization: 0.013 μB/atom
* energy of formation from the pure elements: -56 kJ per mole of atoms
* E: -5.64 eV/atom

Structure (POSCAR):
```
Y5In4Rh
1.0
3.5080 0.0000 0.0000
0.0000 3.5080 0.0000
0.0000 0.0000 20.6122
Y In Rh
5 4 1
direct
0.0000 0.0000 0.0000
0.0000 0.0000 0.2086
0.0000 0.0000 0.4191
0.0000 0.0000 0.5809
0.0000 0.0000 0.7914
0.5000 0.5000 0.1043
0.5000 0.5000 0.3121
0.5000 0.5000 0.6879
0.5000 0.5000 0.8957
0.5000 0.5000 0.5000
```

=====

# Pr2ZnCuSe5

A relaxed Pr2ZnCuSe5 crystal (PBE, Alexandria).

## Properties
* space-group type: Cmc2_1 (36)
* crystal system: orthorhombic
* density of states at the Fermi level: 0.614 states/eV per atom
* magnetization: 0.000 μB/atom
* formation energy from raw total energies: -1153 meV per atom
* E: -4.75 eV/atom

Structure (POSCAR):
```
Pr2ZnCuSe5
1.0
2.0617 -8.5377 0.0000
2.0617 8.5377 0.0000
0.0000 0.0000 12.4983
Pr Zn Cu Se
4 2 2 10
direct
0.1074 0.8926 0.5000
0.1374 0.8626 0.1345
0.8626 0.1374 0.6345
0.8926 0.1074 0.0000
0.4303 0.5697 0.2640
0.5697 0.4303 0.7640
0.2024 0.7976 0.8862
0.7976 0.2024 0.3862
0.0570 0.9430 0.8702
0.2841 0.7159 0.4860
0.3157 0.6843 0.1441
0.3414 0.6586 0.8199
0.4891 0.5109 0.5977
0.5109 0.4891 0.0977
0.6586 0.3414 0.3199
0.6843 0.3157 0.6441
0.7159 0.2841 0.9860
0.9430 0.0570 0.3702
```

=====

# KPb

A relaxed KPb crystal (PBE, Alexandria).

## Properties
* space-group type: P4_2/mnm (136)
* crystal system: tetragonal
* density of states at the Fermi level: 0.548 states/eV per atom
* magnetization: 0.000 μB/atom
* energy of formation from the pure elements: 5 kJ per mole of atoms
* E: -2.35 eV/atom

Structure (POSCAR):
```
KPb
1.0
7.2077 0.0000 0.0000
0.0000 7.2077 0.0000
0.0000 0.0000 7.3909
K Pb
4 4
direct
0.1709 0.1709 0.0000
0.3291 0.6709 0.5000
0.6709 0.3291 0.5000
0.8291 0.8291 0.0000
0.1388 0.1388 0.5000
0.3612 0.6388 0.0000
0.6388 0.3612 0.0000
0.8612 0.8612 0.5000
```

=====

# Ho2Zn2Sn

A relaxed Ho2Zn2Sn crystal (PBE, Alexandria).

## Properties
* space-group type: P4/mbm (127)
* crystal system: tetragonal
* density of states at the Fermi level: 0.489 states/eV per atom
* magnetization: 0.000 μB/atom
* energy of formation from the pure elements: -48 kJ per mole of atoms
* E: -3.64 eV/atom

Structure (POSCAR):
```
Ho2Zn2Sn
1.0
7.1116 0.0000 0.0000
0.0000 7.1116 0.0000
0.0000 0.0000 4.4491
Ho Zn Sn
4 4 2
direct
0.1715 0.3285 0.0000
0.3285 0.8285 0.0000
0.6715 0.1715 0.0000
0.8285 0.6715 0.0000
0.1234 0.6234 0.5000
0.3766 0.1234 0.5000
0.6234 0.8766 0.5000
0.8766 0.3766 0.5000
0.0000 0.0000 0.5000
0.5000 0.5000 0.5000
```

=====

What is the formula in the first record?
Y5In4Rh

=====

What is the formula in the fourth record?
Ho2Zn2Sn

=====

Among the records above, which one has the highest E?
KPb

=====

Number 1 is which compound?
Y5In4Rh